# 1
The following is a DFT calculation (PBE-GGA) of a relaxed Ac4As2SeCl crystal.

Output
The calculation puts the energy at -5.49 eV per atom. The spin magnetization is 0.00 μB per cell. The value obtained for the raw formation energy is -1.6044 eV per atom.

Cell lengths 7.744, 6.329, 7.751 Å; angles 65.83, 48.22, 65.95 degrees
Positions (direct):
1 Ac 0.000 0.500 0.000
2 Ac 0.246 0.754 0.246
3 Ac 0.500 0.000 0.500
4 Ac 0.754 0.246 0.754
5 As 0.250 0.250 0.250
6 As 0.750 0.750 0.750
7 Se 0.999 0.999 0.001
8 Cl 0.500 0.500 0.500

---

# 2
The following is a DFT calculation (PBE-GGA) of a relaxed CsCdSnSb crystal.

Output
The calculation puts the energy at -2.66 eV per atom. The spin magnetization is 0.00 μB per cell. The value obtained for the raw formation energy is -0.1840 eV per atom.

Cell lengths 4.482, 4.482, 15.510 Å; angles 90.00, 90.00, 90.00 degrees
Positions (direct):
1 Cs 0.250 0.250 0.236
2 Cs 0.750 0.750 0.764
3 Cd 0.250 0.750 0.500
4 Cd 0.750 0.250 0.500
5 Sn 0.250 0.750 0.000
6 Sn 0.750 0.250 0.000
7 Sb 0.250 0.250 0.622
8 Sb 0.750 0.750 0.378

---

# 3
The following is a DFT calculation (PBE-GGA) of a relaxed Ac3La2Sn3 crystal.

Output
The calculation puts the energy at -4.94 eV per atom. The spin magnetization is 0.21 μB per cell. The calculation puts the polymorph energy (0 for the lowest one) at 0.00 eV per formula unit. The formation enthalpy at 0 K is -0.663 eV per atom.

Cell lengths 9.769, 9.769, 7.078 Å; angles 90.00, 90.00, 120.00 degrees
Positions (direct):
1 Ac 0.000 0.247 0.250
2 Ac 0.000 0.753 0.750
3 Ac 0.247 0.000 0.250
4 Ac 0.247 0.247 0.750
5 Ac 0.753 0.000 0.750
6 Ac 0.753 0.753 0.250
7 La 0.333 0.667 0.000
8 La 0.333 0.667 0.500
9 La 0.667 0.333 0.000
10 La 0.667 0.333 0.500
11 Sn 0.000 0.397 0.750
12 Sn 0.000 0.603 0.250
13 Sn 0.397 0.000 0.750
14 Sn 0.397 0.397 0.250
15 Sn 0.603 0.000 0.250
16 Sn 0.603 0.603 0.750

---

# 4
The following is a DFT calculation (PBE-GGA) of a relaxed La5TbNdCd2 crystal.

Output
The calculation puts the energy at -3.97 eV per atom. The spin magnetization is 0.00 μB per cell. The formation enthalpy at 0 K is 0.017 eV per atom.

Cell lengths 9.823, 9.823, 9.823 Å; angles 125.83, 125.83, 80.16 degrees
Positions (direct):
1 La 0.000 0.000 0.000
2 La 0.069 0.569 0.903
3 La 0.167 0.069 0.500
4 La 0.333 0.833 0.903
5 La 0.431 0.333 0.500
6 La 0.500 0.500 0.000
7 La 0.569 0.667 0.500
8 La 0.667 0.167 0.097
9 La 0.833 0.931 0.500
10 La 0.931 0.431 0.097
11 Tb 0.250 0.250 0.000
12 Tb 0.750 0.750 0.000
13 Nd 0.250 0.750 0.500
14 Nd 0.750 0.250 0.500
15 Cd 0.107 0.393 0.500
16 Cd 0.393 0.893 0.286
17 Cd 0.607 0.107 0.714
18 Cd 0.893 0.607 0.500

---

# 5
The following is a DFT calculation (PBE-GGA) of a relaxed Y2FeI crystal.

Output
The calculation puts the energy at -5.54 eV per atom. The spin magnetization is 0.00 μB per cell. The value obtained for the raw formation energy is 0.1933 eV per atom. The calculation puts the polymorph energy (0 for the lowest one) at 0.00 eV per formula unit.

Cell lengths 6.612, 6.612, 6.612 Å; angles 111.02, 111.02, 106.42 degrees
Positions (direct):
1 Y 0.053 0.625 0.928
2 Y 0.375 0.303 0.428
3 Y 0.697 0.125 0.072
4 Y 0.875 0.947 0.572
5 Fe 0.000 0.000 0.000
6 Fe 0.750 0.250 0.500
7 I 0.250 0.750 0.500
8 I 0.500 0.500 0.000

---

# 6
The following is a DFT calculation (PBE-GGA) of a relaxed ScCd2Te crystal.

Output
The calculation puts the energy at -3.01 eV per atom. The spin magnetization is 0.00 μB per cell. The value obtained for the raw formation energy is -0.1794 eV per atom.

Cell lengths 5.171, 5.171, 5.171 Å; angles 60.00, 60.00, 60.00 degrees
Positions (direct):
1 Sc 0.000 0.000 0.000
2 Cd 0.500 0.500 0.500
3 Cd 0.750 0.750 0.750
4 Te 0.250 0.250 0.250

---

# 7
The following is a DFT calculation (PBE-GGA) of a relaxed PHS2Cl crystal.

Output
The calculation puts the energy at -2.94 eV per atom. The spin magnetization is 1.22 μB per cell. The calculation puts the polymorph energy (0 for the lowest one) at 0.19 eV per formula unit.

Cell lengths 3.646, 3.646, 7.079 Å; angles 90.00, 90.00, 90.00 degrees
Positions (direct):
1 P 0.000 0.000 0.000
2 H 0.500 0.500 0.500
3 S 0.000 0.500 0.500
4 S 0.500 0.000 0.500
5 Cl 0.500 0.500 0.000

---

# 8
The following is a DFT calculation (PBE-GGA) of a relaxed Tb2Ag3Hg crystal.

Output
The calculation puts the energy at -3.33 eV per atom. The spin magnetization is 0.00 μB per cell. The calculation puts the polymorph energy (0 for the lowest one) at 0.00 eV per formula unit. The formation enthalpy at 0 K is -0.306 eV per atom.

Cell lengths 9.715, 9.060, 5.886 Å; angles 77.91, 65.76, 36.33 degrees
Positions (direct):
1 Tb 0.248 0.752 0.752
2 Tb 0.250 0.250 0.250
3 Tb 0.750 0.750 0.750
4 Tb 0.752 0.248 0.248
5 Ag 0.165 0.165 0.835
6 Ag 0.166 0.670 0.330
7 Ag 0.330 0.834 0.166
8 Ag 0.670 0.166 0.834
9 Ag 0.834 0.330 0.670
10 Ag 0.835 0.835 0.165
11 Hg 0.333 0.333 0.667
12 Hg 0.667 0.667 0.333

---

# 9
The following is a DFT calculation (PBE-GGA) of a relaxed Ac3Zn2Pd9 crystal.

Output
The calculation puts the energy at -5.10 eV per atom. The spin magnetization is 0.00 μB per cell. The calculation puts the polymorph energy (0 for the lowest one) at 0.00 eV per formula unit. The formation enthalpy at 0 K is -0.699 eV per atom.

Cell lengths 6.506, 6.506, 15.530 Å; angles 90.00, 90.00, 120.00 degrees
Positions (direct):
1 Ac 0.000 0.000 0.250
2 Ac 0.000 0.000 0.750
3 Ac 0.333 0.667 0.074
4 Ac 0.333 0.667 0.426
5 Ac 0.667 0.333 0.574
6 Ac 0.667 0.333 0.926
7 Zn 0.333 0.667 0.661
8 Zn 0.333 0.667 0.839
9 Zn 0.667 0.333 0.161
10 Zn 0.667 0.333 0.339
11 Pd 0.045 0.523 0.250
12 Pd 0.145 0.289 0.575
13 Pd 0.145 0.289 0.925
14 Pd 0.145 0.855 0.575
15 Pd 0.145 0.855 0.925
16 Pd 0.289 0.145 0.075
17 Pd 0.289 0.145 0.425
18 Pd 0.477 0.523 0.250
19 Pd 0.477 0.955 0.250
20 Pd 0.523 0.045 0.750
21 Pd 0.523 0.477 0.750
22 Pd 0.711 0.855 0.575
23 Pd 0.711 0.855 0.925
24 Pd 0.855 0.145 0.075
25 Pd 0.855 0.145 0.425
26 Pd 0.855 0.711 0.075
27 Pd 0.855 0.711 0.425
28 Pd 0.955 0.477 0.750

---

# 10
The following is a DFT calculation (PBE-GGA) of a relaxed DyY2Ho2Mg crystal.

Output
The calculation puts the energy at -4.23 eV per atom. The spin magnetization is 0.00 μB per cell. The formation enthalpy at 0 K is 0.486 eV per atom.

Cell lengths 10.371, 11.636, 3.606 Å; angles 90.00, 90.00, 90.00 degrees
Positions (direct):
1 Dy 0.000 0.000 0.000
2 Dy 0.500 0.500 0.500
3 Y 0.248 0.429 0.000
4 Y 0.252 0.929 0.500
5 Y 0.748 0.071 0.500
6 Y 0.752 0.571 0.000
7 Ho 0.085 0.225 0.500
8 Ho 0.415 0.725 0.000
9 Ho 0.585 0.275 0.000
10 Ho 0.915 0.775 0.500
11 Mg 0.000 0.500 0.500
12 Mg 0.500 0.000 0.000

---

# 11
The following is a DFT calculation (PBE-GGA) of a relaxed NdThSb crystal.

Output
The calculation puts the energy at -5.92 eV per atom. The spin magnetization is 0.00 μB per cell. The value obtained for the raw formation energy is -0.4812 eV per atom.

Cell lengths 3.976, 4.910, 10.412 Å; angles 90.00, 94.97, 90.00 degrees
Positions (direct):
1 Nd 0.225 0.250 0.333
2 Nd 0.775 0.750 0.667
3 Th 0.276 0.250 0.938
4 Th 0.724 0.750 0.062
5 Sb 0.277 0.250 0.639
6 Sb 0.723 0.750 0.361

---

Q: The lowest energy belongs to which entry?
A: NdThSb